No. 1
PBEsol HW3S, optimized geometry; space group = Pm-3m; uncorrected energy = -40.149 eV/cell; crystal system = cubic; D(E_F) = 5.66 states/eV/cell
1.0
-4.056 0.019 -1.595
-1.591 -0.350 4.043
-0.110 4.344 0.332
H S W
1 1 3
direct
0.500 0.500 0.500
0.000 0.000 0.000
0.000 0.500 0.000
0.000 0.000 0.500
0.500 0.000 0.000

No. 2
PBEsol Li3Hg, optimized geometry; space group = Pm-3n; crystal system = cubic; energy above the most stable polymorph in this dataset = 0.09 eV per formula unit; D(E_F) = 2.95 states/eV/cell; E_form = -0.285 eV per atom
1.0
-3.025 -3.284 2.576
0.486 -3.437 -3.811
4.146 -1.993 2.326
Hg Li
2 6
direct
0.000 0.000 0.000
0.500 0.500 0.500
0.750 0.500 0.000
0.250 0.500 0.000
0.000 0.750 0.500
0.000 0.250 0.500
0.500 0.000 0.250
0.500 0.000 0.750

No. 3
PBEsol Ni6SnTe2, optimized geometry; space group = I4mm; uncorrected energy = -50.166 eV/cell; crystal system = tetragonal; D(E_F) = 5.16 states/eV/cell
1.0
-1.536 -3.112 1.382
3.352 -1.116 1.212
-2.427 6.538 6.978
Ni Sn Te
6 1 2
direct
0.498 0.498 0.997
0.094 0.594 0.188
0.594 0.094 0.188
0.904 0.404 0.809
0.404 0.904 0.809
0.190 0.190 0.381
0.000 0.000 0.000
0.685 0.685 0.370
0.320 0.320 0.640

No. 4
PBEsol CoAg2Au, optimized geometry; space group = R3m; crystal system = trigonal; energy above the most stable polymorph in this dataset = 0.08 eV per formula unit; D(E_F) = 3.41 states/eV/cell; E_form = 0.213 eV per atom
1.0
2.790 0.000 0.000
1.395 2.416 0.000
1.395 0.805 9.035
Co Au Ag
1 1 2
direct
0.250 0.250 0.251
0.506 0.506 0.483
0.995 0.995 0.015
0.750 0.750 0.751

No. 5
PBEsol HfNiPS2, optimized geometry; space group = P4/mmm; crystal system = tetragonal; energy above the most stable polymorph in this dataset = 2.28 eV per formula unit; D(E_F) = 9.65 states/eV/cell
1.0
4.795 0.000 0.000
0.000 4.795 0.000
0.000 0.000 4.968
Ni S Hf P
1 2 1 1
direct
0.500 0.500 0.500
0.000 0.500 0.000
0.500 0.000 0.000
0.000 0.000 0.000
0.000 0.000 0.500

No. 6
PBEsol Hf3ReSb, optimized geometry; space group = Pm-3m; uncorrected energy = -41.076 eV/cell; crystal system = cubic; D(E_F) = 5.93 states/eV/cell
1.0
5.032 0.000 0.000
0.000 5.032 0.000
0.000 0.000 5.032
Re Hf Sb
1 3 1
direct
0.500 0.500 0.500
0.000 0.500 0.000
0.000 0.000 0.500
0.500 0.000 0.000
0.000 0.000 0.000

No. 7
PBEsol CdAgMo, optimized geometry; space group = I4mm; crystal system = tetragonal; energy above the most stable polymorph in this dataset = 0.00 eV per formula unit; D(E_F) = 1.56 states/eV/cell; E_form = 0.318 eV per atom
1.0
-1.123 1.720 -1.823
-2.368 -0.074 1.388
3.732 4.356 3.880
Ag Cd Mo
1 1 1
direct
0.003 0.003 0.006
0.333 0.333 0.666
0.664 0.664 0.328

No. 8
PBEsol CaMg2, optimized geometry; space group = Fd-3m; crystal system = cubic; D(E_F) = 3.65 states/eV/cell; E_form = -0.123 eV per atom
1.0
-1.451 -4.393 4.073
-1.099 -5.750 -1.929
4.029 -4.494 1.253
Ca Mg
2 4
direct
0.750 0.750 0.750
0.500 0.500 0.500
0.125 0.125 0.625
0.125 0.625 0.125
0.125 0.125 0.125
0.625 0.125 0.125

No. 9
PBEsol CaCdSe2, optimized geometry; space group = Amm2; uncorrected energy = -15.642 eV/cell; crystal system = orthorhombic; D(E_F) = 0.28 states/eV/cell
1.0
-2.519 0.227 2.811
0.762 -3.770 0.987
6.062 1.941 2.733
Ca Se Cd
1 2 1
direct
0.535 0.000 0.070
0.971 0.500 0.943
0.216 0.000 0.432
0.778 0.500 0.556

No. 10
PBEsol Ca2TcW, optimized geometry; space group = Pmmm; crystal system = orthorhombic; energy above the most stable polymorph in this dataset = 1.98 eV per formula unit; D(E_F) = 2.59 states/eV/cell; E_form = 0.843 eV per atom
1.0
3.616 0.000 0.000
0.000 4.115 0.000
0.000 0.000 5.078
Ca Tc W
2 1 1
direct
0.000 0.000 0.000
0.500 0.500 0.000
0.500 0.000 0.500
0.000 0.500 0.500

No. 11
PBEsol P4PtF12, optimized geometry; space group = I-43m; uncorrected energy = -93.017 eV/cell; crystal system = cubic; D(E_F) = 0.00 states/eV/cell
1.0
-4.486 4.414 3.542
4.809 -2.763 4.626
3.461 3.706 -5.143
P Pt F
4 1 12
direct
0.308 0.000 0.000
0.000 0.000 0.308
0.692 0.692 0.692
0.000 0.308 0.000
0.000 0.000 0.000
0.201 0.482 0.000
0.482 0.000 0.201
0.000 0.201 0.482
0.799 0.281 0.799
0.518 0.719 0.518
0.482 0.201 0.000
0.201 0.000 0.482
0.518 0.518 0.719
0.799 0.799 0.281
0.000 0.482 0.201
0.281 0.799 0.799
0.719 0.518 0.518

No. 12
PBEsol K2RbAsF6, optimized geometry; space group = Fm-3m; uncorrected energy = -44.607 eV/cell; crystal system = cubic; D(E_F) = 0.00 states/eV/cell
1.0
-0.248 -6.487 0.698
1.166 -2.703 5.827
-4.880 -2.737 3.364
K Rb As F
2 1 1 6
direct
0.750 0.750 0.750
0.250 0.250 0.250
0.500 0.500 0.500
0.000 0.000 0.000
0.779 0.221 0.221
0.779 0.779 0.221
0.221 0.779 0.779
0.779 0.221 0.779
0.221 0.779 0.221
0.221 0.221 0.779

No. 13
PBEsol MnInW, optimized geometry; space group = P3m1; crystal system = trigonal; D(E_F) = 2.80 states/eV/cell; E_form = 0.485 eV per atom
1.0
2.945 0.000 0.000
-1.472 2.550 0.000
0.000 0.000 6.478
In Mn W
1 1 1
direct
0.000 0.000 0.989
0.667 0.333 0.641
0.333 0.667 0.370

No. 14
PBEsol TcAg2Hg, optimized geometry; space group = P4/mmm; crystal system = tetragonal; D(E_F) = 2.43 states/eV/cell; E_form = 0.388 eV per atom
1.0
-1.133 2.080 1.361
0.001 -1.495 2.286
8.149 3.111 2.034
Ag Hg Tc
2 1 1
direct
0.000 0.000 0.735
0.000 0.000 0.265
0.500 0.500 0.000
0.500 0.500 0.500

No. 15
PBEsol NbRu2Cl, optimized geometry; space group = Fm-3m; uncorrected energy = -30.471 eV/cell; crystal system = cubic; D(E_F) = 3.82 states/eV/cell
1.0
-2.616 -1.505 -3.205
1.711 -2.306 -3.337
-0.809 -4.314 -0.337
Ru Nb Cl
2 1 1
direct
0.250 0.250 0.250
0.750 0.750 0.750
0.500 0.500 0.500
0.000 0.000 0.000

No. 16
PBEsol MgRu2Pb, optimized geometry; space group = Cmmm; crystal system = orthorhombic; D(E_F) = 4.08 states/eV/cell; E_form = 0.634 eV per atom
1.0
-0.542 0.808 2.807
-2.384 -0.026 -1.772
-1.457 -8.210 2.081
Mg Pb Ru
1 1 2
direct
0.500 0.500 0.500
0.500 0.500 0.000
0.000 0.000 0.252
0.000 0.000 0.748

No. 17
PBEsol Pr2NiB10, optimized geometry; space group = Pbam; crystal system = orthorhombic; D(E_F) = 4.53 states/eV/cell; E_form = -0.563 eV per atom
1.0
4.186 0.000 0.000
0.000 5.606 0.000
0.000 0.000 11.178
Pr Ni B
4 2 20
direct
0.500 0.188 0.363
0.500 0.812 0.637
0.500 0.312 0.863
0.500 0.688 0.137
0.000 0.000 0.000
0.000 0.500 0.500
0.000 0.373 0.041
0.000 0.627 0.959
0.000 0.127 0.541
0.000 0.873 0.459
0.000 0.341 0.198
0.000 0.659 0.802
0.000 0.159 0.698
0.000 0.841 0.302
0.000 0.031 0.187
0.000 0.969 0.813
0.000 0.469 0.687
0.000 0.531 0.313
0.300 0.199 0.113
0.700 0.801 0.887
0.300 0.801 0.887
0.700 0.301 0.613
0.700 0.199 0.113
0.300 0.699 0.387
0.700 0.699 0.387
0.300 0.301 0.613

No. 18
PBEsol Sr3ZnHg, optimized geometry; space group = Pm-3m; crystal system = cubic; D(E_F) = 5.13 states/eV/cell; E_form = 0.080 eV per atom
1.0
6.124 0.000 0.000
0.000 6.124 0.000
0.000 0.000 6.124
Sr Zn Hg
3 1 1
direct
0.000 0.500 0.000
0.000 0.000 0.500
0.500 0.000 0.000
0.500 0.500 0.500
0.000 0.000 0.000

No. 19
PBEsol Ir2Se, optimized geometry; space group = P6/mmm; crystal system = hexagonal; energy above the most stable polymorph in this dataset = 1.28 eV per formula unit; D(E_F) = 2.84 states/eV/cell
1.0
-1.607 1.993 -1.193
-3.558 -2.487 0.637
1.258 2.859 3.081
Ir Se
2 1
direct
0.500 0.667 0.333
0.500 0.333 0.667
0.000 0.000 0.000

No. 20
PBEsol LiTaRu2, optimized geometry; space group = Fm-3m; crystal system = cubic; energy above the most stable polymorph in this dataset = 0.00 eV per formula unit; D(E_F) = 3.47 states/eV/cell; E_form = -0.136 eV per atom
1.0
-0.412 -0.698 -4.196
2.582 -2.780 -1.967
-1.547 -3.728 -1.404
Ru Ta Li
2 1 1
direct
0.250 0.250 0.250
0.750 0.750 0.750
0.500 0.500 0.500
0.000 0.000 0.000